DFT (PBEsol) results for an optimized crystal structure of LiCd2Ni.

abc: 3.1001 3.1001 6.4549
angles: 90.00 90.00 90.00
Last column: nearest neighbours and their distance in Å.
Sites, in units of the cell vectors:
Cd  0.5000  0.5000  0.2855  4 Li 2.72, 1 Ni 2.82
Cd  0.0000  0.0000  0.9573  4 Ni 2.66, 1 Li 2.73
Li  0.0000  0.0000  0.5346  4 Ni 2.51, 5 Cd 2.72-2.73
Ni  0.5000  0.5000  0.7226  4 Li 2.51, 4 Cd 2.66

Results
Energy relative to the lowest polymorph listed for this composition, eV/atom: 0.133
Energy of formation, eV/f.u.: -0.1
Space-group type: P4mm

---

DFT (PBEsol) results for an optimized crystal structure of Mg2BeIn.

abc: 5.1565 6.2965 6.2965
angles: 80.35 65.83 65.83
Last column: nearest neighbours and their distance in Å.
Sites, in units of the cell vectors:
Be  0.5000  0.0000  0.0000  4 Mg 2.54, 2 In 2.58
Be  0.2500  0.5000  0.5000  4 Mg 2.54, 2 In 2.58
In  0.0000  0.0000  0.0000  2 Be 2.58
In  0.7500  0.5000  0.5000  2 Be 2.58
Mg  0.3750  0.4195  0.0805  2 Be 2.54
Mg  0.2055  0.9195  0.4195  2 Be 2.54
Mg  0.5445  0.0805  0.5805  2 Be 2.54
Mg  0.8750  0.5805  0.9195  2 Be 2.54

Results
Energy relative to the lowest polymorph listed for this composition, eV/atom: 0.220
Energy of formation, eV/f.u.: 1.7
Space-group type: I-42d

---

DFT (PBEsol) results for an optimized crystal structure of BaTl3.

abc: 5.1550 7.5463 7.5463
angles: 120.88 90.00 90.00
Last column: nearest neighbours and their distance in Å.
Sites, in units of the cell vectors:
Tl  0.7500  0.6978  0.8451  6 Tl 3.22-3.40, 2 Ba 3.51
Tl  0.2500  0.8527  0.1473  6 Tl 3.24-3.36, 2 Ba 3.52
Tl  0.2500  0.3022  0.1549  6 Tl 3.22-3.40, 2 Ba 3.51
Tl  0.2500  0.8451  0.6978  6 Tl 3.22-3.40, 2 Ba 3.51
Tl  0.7500  0.1549  0.3022  6 Tl 3.22-3.40, 2 Ba 3.51
Tl  0.7500  0.1473  0.8527  6 Tl 3.24-3.36, 2 Ba 3.52
Ba  0.7500  0.6700  0.3300  12 Tl 3.51-3.78
Ba  0.2500  0.3300  0.6700  12 Tl 3.51-3.78

Results
Energy of formation, eV/f.u.: -1.4
Space-group type: Cmcm

---

DFT (PBEsol) results for an optimized crystal structure of CdInCl.

abc: 5.1572 5.1572 5.1572
angles: 60.00 60.00 60.00
Last column: nearest neighbours and their distance in Å.
Sites, in units of the cell vectors:
In  0.0000  0.0000  0.0000  4 Cl 3.16
Cl  0.2500  0.2500  0.2500  4 Cd 3.16, 4 In 3.16
Cd  0.5000  0.5000  0.5000  4 Cl 3.16

Results
Uncorrected energy, eV for the cell shown: -6.4
Space-group type: F-43m